Here is Co3GeH at its PBEsol-relaxed geometry from Alexandria via LeMat-Bulk. Energies are from SCAN.

It has space group Pm-3m (No. 221), with a = 3.540 Å, b = 3.540 Å, c = 3.540 Å, α = 90.00°, β = 90.00° and γ = 90.00°. The inequivalent atoms are Co at (0.000, 0.000, 0.500), Ge at (0.500, 0.500, 0.500) and H at (0.000, 0.000, 0.000).

The calculation puts the electronic total energy at -74.42 eV/f.u.